# RhWAu | Alexandria | PBEsol | relaxed
# Size of the total moment in μB/f.u.: 0.00
# Calculated volume in Å³/cell: 46
# Electronic total energy in eV per atom: -8.441
# Density of states at the Fermi level in states/eV/f.u.: 1.676
data_RhWAu
_chemical_formula_sum 'Rh1 W1 Au1'
_cell_length_a 4.3930
_cell_length_b 4.3930
_cell_length_c 2.7644
_cell_angle_alpha 90.00
_cell_angle_beta 90.00
_cell_angle_gamma 120.00
_space_group_name_H-M_alt 'P 3 m 1'
_space_group_IT_number 156
loop_
_space_group_symop_operation_xyz
'x,y,z'
'-y,x-y,z'
'-x+y,-x,z'
'-y,-x,z'
'-x+y,y,z'
'x,x-y,z'
loop_
_atom_site_label
_atom_site_type_symbol
_atom_site_fract_x
_atom_site_fract_y
_atom_site_fract_z
Rh1 Rh 0.0000 0.0000 0.0000
W1 W 0.6667 0.3333 0.0862
Au1 Au 0.3333 0.6667 0.5578